An optimized crystal structure of Li2CrP2O7. Source: Alexandria via LeMat-Bulk, functional GGA+U.

Cell lengths 7.5486, 7.5486, 11.2223 Å; angles 89.94, 89.94, 116.57 degrees
Last column: magnetic moment on the atom in μB.
Sites, in units of the cell vectors:
Li 0.7135 0.2865 0.2500  0.00
Li 0.7136 0.2864 0.0000  0.00
Li 0.2864 0.7136 0.0000  0.00
Li 0.2865 0.7135 0.2500  0.00
Li 0.2865 0.7135 0.7500  0.00
Li 0.7135 0.2865 0.7500  0.00
Li 0.7136 0.2864 0.5000  0.00
Li 0.2864 0.7136 0.5000  0.00
Cr 0.3008 0.3008 0.6244  3.79
Cr 0.3008 0.3008 0.1244  3.79
Cr 0.6992 0.6992 0.8756  3.79
Cr 0.6992 0.6992 0.3756  3.79
P 0.9135 0.6909 0.6253  0.00
P 0.9134 0.6908 0.1254  0.00
P 0.3091 0.0865 0.8747  0.00
P 0.6908 0.9134 0.6254  0.00
P 0.6909 0.9135 0.1253  0.00
P 0.3092 0.0866 0.3746  0.00
P 0.0866 0.3092 0.8746  0.00
P 0.0865 0.3091 0.3747  0.00
O 0.4198 0.1986 0.9877  -0.01
O 0.9040 0.9039 0.1251  0.01
O 0.4194 0.1983 0.7611  -0.01
O 0.2591 0.8700 0.3749  0.00
O 0.5801 0.8012 0.5123  -0.01
O 0.9039 0.9040 0.6251  0.01
O 0.8017 0.5806 0.7389  -0.01
O 0.5802 0.8014 0.0123  -0.01
O 0.4199 0.1988 0.4877  -0.01
O 0.0960 0.0961 0.8749  0.01
O 0.1301 0.7411 0.6251  0.00
O 0.7411 0.1301 0.1251  0.00
O 0.8016 0.5805 0.2389  -0.01
O 0.2589 0.8699 0.8749  0.00
O 0.8014 0.5802 0.5123  -0.01
O 0.1988 0.4199 0.9877  -0.01
O 0.8012 0.5801 0.0123  -0.01
O 0.7409 0.1300 0.6251  0.00
O 0.5806 0.8017 0.2389  -0.01
O 0.1984 0.4195 0.7611  -0.01
O 0.4195 0.1984 0.2611  -0.01
O 0.8700 0.2591 0.8749  0.00
O 0.1986 0.4198 0.4877  -0.01
O 0.5805 0.8016 0.7389  -0.01
O 0.1983 0.4194 0.2611  -0.01
O 0.1300 0.7409 0.1251  0.00
O 0.8699 0.2589 0.3749  0.00
O 0.0961 0.0960 0.3749  0.01

Results
- ρ (g/cm3) = 2.79
- M_tot (μB per atom) = 0.3333
- E above lowest polymorph (kJ per mole of atoms) = 2.8
- energy (eV/atom) = -6.97
- space-group type = C2/m (12)